{"formula": "SrTe2Ir", "functional": "PBE", "state": "optimized geometry", "lattice_angstrom": [[2.556, 1.476, 8.215], [-2.556, 1.476, 8.215], [0.000, -2.951, 8.215]], "species": ["Sr", "Te", "Te", "Ir"], "fractional_positions": [[0.000, 0.000, 0.000], [0.398, 0.398, 0.398], [0.602, 0.602, 0.602], [0.500, 0.500, 0.500]], "total_magnetization_mub_per_fu": 2.757, "formation_energy_uncorrected_kj_per_mol_atoms": 18.5, "space_group": "No. 166", "dos_at_fermi_per_ev_cell": 10.23, "mass_density_g_cm3": 4.78, "de_polymorph_ev_per_atom": 0.823}



{"formula": "Sr2TeIr", "functional": "PBE", "state": "optimized geometry", "lattice_angstrom": [[-4.233, 4.233, 3.337], [4.233, -4.233, 3.337], [4.233, 4.233, -3.337]], "species": ["Sr", "Sr", "Sr", "Sr", "Te", "Te", "Ir", "Ir"], "fractional_positions": [[0.078, 0.625, 0.953], [0.375, 0.328, 0.453], [0.672, 0.125, 0.047], [0.875, 0.922, 0.547], [0.250, 0.750, 0.500], [0.500, 0.500, 0.000], [0.000, 0.000, 0.000], [0.750, 0.250, 0.500]], "total_magnetization_mub_per_fu": 0.000, "formation_energy_uncorrected_kj_per_mol_atoms": -34.7, "space_group": "No. 122", "dos_at_fermi_per_ev_cell": 1.67, "mass_density_g_cm3": 6.87}



{"formula": "Sr2TeIr", "functional": "PBE", "state": "optimized geometry", "lattice_angstrom": [[4.581, 0.000, 0.000], [0.000, 4.592, 0.000], [0.000, 0.000, 6.494]], "species": ["Sr", "Sr", "Te", "Ir"], "fractional_positions": [[0.000, 0.000, 0.000], [0.500, 0.500, 0.499], [0.000, 0.000, 0.500], [0.500, 0.500, 0.999]], "total_magnetization_mub_per_fu": 1.006, "formation_energy_uncorrected_kj_per_mol_atoms": -38.9, "space_group": "No. 25", "dos_at_fermi_per_ev_cell": 6.97, "mass_density_g_cm3": 6.02}



{"formula": "SrTe2Ir", "functional": "PBE", "state": "optimized geometry", "lattice_angstrom": [[2.100, -3.717, 0.000], [2.100, 3.717, 0.000], [0.000, 0.000, 7.861]], "species": ["Sr", "Te", "Te", "Ir"], "fractional_positions": [[0.000, 0.000, 0.000], [0.500, 0.500, 0.297], [0.500, 0.500, 0.703], [0.000, 0.000, 0.500]], "total_magnetization_mub_per_fu": 0.254, "formation_energy_uncorrected_kj_per_mol_atoms": -21.9, "space_group": "No. 65", "dos_at_fermi_per_ev_cell": 4.26, "mass_density_g_cm3": 7.24, "de_polymorph_ev_per_atom": 0.405}



{"formula": "SrTe2Ir", "functional": "PBE", "state": "optimized geometry", "lattice_angstrom": [[2.160, 1.247, 6.806], [-2.160, 1.247, 6.806], [0.000, -2.494, 6.806]], "species": ["Sr", "Te", "Te", "Ir"], "fractional_positions": [[0.000, 0.000, 0.000], [0.226, 0.226, 0.226], [0.774, 0.774, 0.774], [0.500, 0.500, 0.500]], "total_magnetization_mub_per_fu": 0.000, "formation_energy_uncorrected_kj_per_mol_atoms": -53.1, "space_group": "No. 166", "dos_at_fermi_per_ev_cell": 2.96, "mass_density_g_cm3": 8.07, "de_polymorph_ev_per_atom": 0.082}



{"formula": "Sr2TeIr", "functional": "PBE", "state": "optimized geometry", "lattice_angstrom": [[3.478, -4.046, 0.000], [3.478, 4.046, 0.000], [0.000, 0.000, 3.950]], "species": ["Sr", "Sr", "Te", "Ir"], "fractional_positions": [[0.000, 0.500, 0.000], [0.500, 0.000, 0.000], [0.000, 0.000, 0.500], [0.500, 0.500, 0.500]], "total_magnetization_mub_per_fu": 0.002, "formation_energy_uncorrected_kj_per_mol_atoms": -47.4, "space_group": "No. 65", "dos_at_fermi_per_ev_cell": 1.70, "mass_density_g_cm3": 7.39}



{"formula": "Sr2TeIr", "functional": "PBE", "state": "optimized geometry", "lattice_angstrom": [[3.870, -2.228, 0.000], [3.870, 2.228, 0.000], [-2.566, 0.000, 7.789]], "species": ["Sr", "Sr", "Te", "Ir"], "fractional_positions": [[0.245, 0.245, 0.234], [0.755, 0.755, 0.766], [0.000, 0.000, 0.500], [0.500, 0.500, 0.000]], "total_magnetization_mub_per_fu": 0.971, "formation_energy_uncorrected_kj_per_mol_atoms": -42.3, "space_group": "No. 12", "dos_at_fermi_per_ev_cell": 4.52, "mass_density_g_cm3": 6.12}



{"formula": "SrTe2Ir", "functional": "PBE", "state": "optimized geometry", "lattice_angstrom": [[2.064, 1.192, 8.474], [-2.064, 1.192, 8.474], [0.000, -2.383, 8.474]], "species": ["Sr", "Te", "Te", "Ir"], "fractional_positions": [[0.000, 0.000, 0.000], [0.245, 0.245, 0.245], [0.460, 0.460, 0.460], [0.757, 0.757, 0.757]], "total_magnetization_mub_per_fu": 0.000, "formation_energy_uncorrected_kj_per_mol_atoms": -28.8, "space_group": "No. 160", "dos_at_fermi_per_ev_cell": 2.79, "mass_density_g_cm3": 7.11, "de_polymorph_ev_per_atom": 0.333}



{"formula": "SrTe2Ir", "functional": "PBE", "state": "optimized geometry", "lattice_angstrom": [[4.732, 0.000, 0.000], [0.000, 4.080, 0.000], [-2.317, 0.000, 6.485]], "species": ["Sr", "Te", "Te", "Ir"], "fractional_positions": [[0.000, 0.000, 0.000], [0.393, 0.500, 0.780], [0.702, 0.000, 0.413], [0.585, 0.500, 0.176]], "total_magnetization_mub_per_fu": 0.000, "formation_energy_uncorrected_kj_per_mol_atoms": -48.8, "space_group": "No. 6", "dos_at_fermi_per_ev_cell": 3.23, "mass_density_g_cm3": 7.10, "de_polymorph_ev_per_atom": 0.126}



{"formula": "SrTe2Ir2", "functional": "PBE", "state": "optimized geometry", "lattice_angstrom": [[-2.107, 2.107, 6.679], [2.107, -2.107, 6.679], [2.107, 2.107, -6.679]], "species": ["Sr", "Te", "Te", "Ir", "Ir"], "fractional_positions": [[0.000, 0.000, 0.000], [0.372, 0.372, 0.000], [0.628, 0.628, 0.000], [0.250, 0.750, 0.500], [0.750, 0.250, 0.500]], "total_magnetization_mub_per_fu": 0.000, "formation_energy_uncorrected_kj_per_mol_atoms": -26.9, "space_group": "No. 139", "dos_at_fermi_per_ev_cell": 4.79, "mass_density_g_cm3": 10.18, "de_polymorph_ev_per_atom": 0.074}



{"formula": "SrTe2Ir2", "functional": "PBE", "state": "optimized geometry", "lattice_angstrom": [[7.722, 0.000, 0.000], [0.000, 7.722, 0.000], [0.000, 0.000, 3.747]], "species": ["Sr", "Sr", "Te", "Te", "Te", "Te", "Ir", "Ir", "Ir", "Ir"], "fractional_positions": [[0.000, 0.000, 0.000], [0.500, 0.500, 0.000], [0.186, 0.314, 0.500], [0.314, 0.814, 0.500], [0.686, 0.186, 0.500], [0.814, 0.686, 0.500], [0.121, 0.621, 0.000], [0.379, 0.121, 0.000], [0.621, 0.879, 0.000], [0.879, 0.379, 0.000]], "total_magnetization_mub_per_fu": 0.000, "formation_energy_uncorrected_kj_per_mol_atoms": -0.4, "space_group": "No. 127", "dos_at_fermi_per_ev_cell": 14.90, "mass_density_g_cm3": 10.81, "de_polymorph_ev_per_atom": 0.349}



{"formula": "Sr2Te4Ir", "functional": "PBE", "state": "optimized geometry", "lattice_angstrom": [[-2.665, 2.665, 8.257], [2.665, -2.665, 8.257], [2.665, 2.665, -8.257]], "species": ["Sr", "Sr", "Te", "Te", "Te", "Te", "Ir"], "fractional_positions": [[0.137, 0.137, 0.000], [0.863, 0.863, 0.000], [0.000, 0.500, 0.500], [0.335, 0.335, 0.000], [0.500, 0.000, 0.500], [0.665, 0.665, 0.000], [0.500, 0.500, 0.000]], "total_magnetization_mub_per_fu": 0.000, "formation_energy_uncorrected_kj_per_mol_atoms": -66.3, "space_group": "No. 139", "dos_at_fermi_per_ev_cell": 9.43, "mass_density_g_cm3": 6.22}



{"formula": "Sr3TeIr", "functional": "PBE", "state": "optimized geometry", "lattice_angstrom": [[5.737, 0.000, 0.000], [0.000, 5.737, 0.000], [0.000, 0.000, 5.737]], "species": ["Sr", "Sr", "Sr", "Te", "Ir"], "fractional_positions": [[0.000, 0.000, 0.500], [0.000, 0.500, 0.000], [0.500, 0.000, 0.000], [0.500, 0.500, 0.500], [0.000, 0.000, 0.000]], "total_magnetization_mub_per_fu": 0.000, "formation_energy_uncorrected_kj_per_mol_atoms": -51.7, "space_group": "No. 221", "dos_at_fermi_per_ev_cell": 4.63, "mass_density_g_cm3": 5.12, "de_polymorph_ev_per_atom": 0.000}



{"formula": "Sr8TeIr2", "functional": "PBE", "state": "optimized geometry", "lattice_angstrom": [[7.448, 0.000, 0.000], [-1.482, 7.686, 0.000], [-1.589, -1.690, 8.088]], "species": ["Sr", "Sr", "Sr", "Sr", "Sr", "Sr", "Sr", "Sr", "Te", "Ir", "Ir"], "fractional_positions": [[0.208, 0.027, 0.397], [0.244, 0.761, 0.782], [0.260, 0.294, 0.849], [0.274, 0.531, 0.329], [0.726, 0.469, 0.671], [0.740, 0.706, 0.151], [0.756, 0.239, 0.218], [0.792, 0.973, 0.603], [0.000, 0.000, 0.000], [0.036, 0.348, 0.539], [0.964, 0.652, 0.461]], "total_magnetization_mub_per_fu": 0.000, "formation_energy_uncorrected_kj_per_mol_atoms": -34.6, "space_group": "No. 2", "dos_at_fermi_per_ev_cell": 5.91, "mass_density_g_cm3": 4.35}



{"formula": "SrTe2Ir", "functional": "PBE", "state": "optimized geometry", "lattice_angstrom": [[3.214, -4.372, 0.000], [3.214, 4.372, 0.000], [0.000, 0.000, 4.119]], "species": ["Sr", "Te", "Te", "Ir"], "fractional_positions": [[0.000, 0.000, 0.000], [0.312, 0.688, 0.500], [0.688, 0.312, 0.500], [0.500, 0.500, 0.000]], "total_magnetization_mub_per_fu": 0.000, "formation_energy_uncorrected_kj_per_mol_atoms": -57.1, "space_group": "No. 65", "dos_at_fermi_per_ev_cell": 1.00, "mass_density_g_cm3": 7.68, "de_polymorph_ev_per_atom": 0.040}



{"formula": "SrTe2Ir", "functional": "PBE", "state": "optimized geometry", "lattice_angstrom": [[-1.981, 2.874, 5.166], [1.981, -2.874, 5.166], [1.981, 2.874, -5.166]], "species": ["Sr", "Te", "Te", "Ir"], "fractional_positions": [[0.000, 0.000, 0.000], [0.331, 0.831, 0.500], [0.669, 0.169, 0.500], [0.500, 0.500, 0.000]], "total_magnetization_mub_per_fu": 0.000, "formation_energy_uncorrected_kj_per_mol_atoms": -57.2, "space_group": "No. 71", "dos_at_fermi_per_ev_cell": 3.05, "mass_density_g_cm3": 7.55, "de_polymorph_ev_per_atom": 0.039}



{"formula": "Sr2TeIr", "functional": "PBE", "state": "optimized geometry", "lattice_angstrom": [[3.686, 0.000, 0.000], [0.000, 3.686, 0.000], [0.000, 0.000, 8.283]], "species": ["Sr", "Sr", "Te", "Ir"], "fractional_positions": [[0.000, 0.000, 0.220], [0.000, 0.000, 0.780], [0.500, 0.500, 0.500], [0.500, 0.500, 0.000]], "total_magnetization_mub_per_fu": 0.000, "formation_energy_uncorrected_kj_per_mol_atoms": -51.6, "space_group": "No. 123", "dos_at_fermi_per_ev_cell": 1.33, "mass_density_g_cm3": 7.30}



{"formula": "SrTe2Ir", "functional": "PBE", "state": "optimized geometry", "lattice_angstrom": [[3.606, 0.000, 0.000], [0.000, 3.606, 0.000], [0.000, 0.000, 7.811]], "species": ["Sr", "Te", "Te", "Ir"], "fractional_positions": [[0.000, 0.000, 0.000], [0.500, 0.500, 0.300], [0.500, 0.500, 0.700], [0.000, 0.000, 0.500]], "total_magnetization_mub_per_fu": 0.000, "formation_energy_uncorrected_kj_per_mol_atoms": -0.5, "space_group": "No. 123", "dos_at_fermi_per_ev_cell": 3.96, "mass_density_g_cm3": 8.75, "de_polymorph_ev_per_atom": 0.627}



{"formula": "Sr2TeIr", "functional": "PBE", "state": "optimized geometry", "lattice_angstrom": [[-2.262, 2.262, 5.528], [2.262, -2.262, 5.528], [2.262, 2.262, -5.528]], "species": ["Sr", "Sr", "Te", "Ir"], "fractional_positions": [[0.000, 0.000, 0.000], [0.750, 0.250, 0.500], [0.250, 0.750, 0.500], [0.500, 0.500, 0.000]], "total_magnetization_mub_per_fu": 0.534, "formation_energy_uncorrected_kj_per_mol_atoms": -31.2, "space_group": "No. 119", "dos_at_fermi_per_ev_cell": 5.77, "mass_density_g_cm3": 7.27}



{"formula": "SrTe2Ir", "functional": "PBE", "state": "optimized geometry", "lattice_angstrom": [[5.642, -2.011, 0.000], [5.642, 2.011, 0.000], [-2.608, 0.000, 5.589]], "species": ["Sr", "Te", "Te", "Ir"], "fractional_positions": [[0.000, 0.000, 0.000], [0.677, 0.677, 0.773], [0.865, 0.865, 0.381], [0.288, 0.288, 0.077]], "total_magnetization_mub_per_fu": 0.000, "formation_energy_uncorrected_kj_per_mol_atoms": -58.5, "space_group": "No. 8", "dos_at_fermi_per_ev_cell": 2.31, "mass_density_g_cm3": 7.01, "de_polymorph_ev_per_atom": 0.026}